No. 1
ZrNbAg (PBE, relaxed); distance to the lowest polymorph of the same formula = 0.0 meV per atom; energy of formation from the pure elements = -0.08 eV/atom; uncorrected energy = -7.24 eV per atom
1.0
-1.603 -2.948 -0.755
1.639 -1.555 2.593
-7.392 2.444 6.137
Zr Nb Ag
2 2 2
Cartesian
-4.647 -1.792 3.190
0.640 -2.309 1.820
-7.070 -0.993 5.201
-4.330 -0.665 5.947
-2.245 -2.588 1.194
-1.764 -1.514 3.815

***

No. 2
Tl2CdCu (PBE, relaxed); distance to the lowest polymorph of the same formula = 7.3 meV per atom; energy of formation from the pure elements = 0.15 eV/atom; uncorrected energy = -2.29 eV per atom
1.0
7.275 1.698 0.012
4.105 6.241 -0.012
-5.164 -4.724 2.613
Cd Cu Tl
1 1 2
Cartesian
3.900 0.472 1.312
2.315 2.744 1.301
0.825 0.576 0.000
4.865 3.394 0.000

***

No. 3
Li3Tc2 (PBE, relaxed); distance to the lowest polymorph of the same formula = 0.0 meV per atom; energy of formation from the pure elements = 0.31 eV/atom; uncorrected energy = -4.98 eV per atom
1.0
-6.431 10.315 0.836
-7.907 8.910 2.557
-5.731 10.198 3.407
Li Tc
3 2
Cartesian
0.000 0.000 0.000
-15.986 23.435 5.416
-4.084 5.987 1.384
-8.015 11.750 2.715
-12.054 17.672 4.084

***

No. 4
Nb3SnO (PBE, relaxed); distance to the lowest polymorph of the same formula = 0.0 meV per atom; raw formation energy = -3.66 eV per formula unit; uncorrected energy = -8.57 eV per atom
1.0
-3.113 -1.255 -2.729
2.954 -1.995 -2.451
-0.548 -3.627 2.292
Nb Sn O
3 1 1
Cartesian
1.477 -0.997 -1.226
-0.274 -1.814 1.146
-1.556 -0.627 -1.365
-0.353 -3.438 -1.444
0.000 0.000 0.000

***

No. 5
Na2YTmS4 (PBE, relaxed); raw formation energy = -14.83 eV per formula unit; uncorrected energy = -5.61 eV per atom
1.0
3.960 0.000 0.000
0.000 6.857 0.116
0.000 -2.398 6.641
Na Y Tm S
2 1 1 4
Cartesian
1.980 -1.199 3.321
0.000 2.229 3.379
1.980 3.428 0.058
0.000 0.000 0.000
1.980 1.095 1.520
1.980 3.363 5.238
0.000 -0.109 5.168
0.000 4.568 1.589

***

No. 6
CsDySnI6 (PBE, relaxed); raw formation energy = -10.38 eV per formula unit; uncorrected energy = -3.24 eV per atom
1.0
8.127 -0.001 0.000
4.063 7.039 0.000
0.000 0.001 8.532
Cs Dy Sn I
1 1 1 6
Cartesian
12.189 7.038 8.531
4.063 2.346 4.266
8.126 4.692 4.266
1.603 2.575 2.480
3.031 0.101 6.051
6.522 2.574 6.051
2.636 4.362 6.052
5.490 4.362 2.480
5.095 0.103 2.480

***

No. 7
AcErBr2 (PBE, relaxed); raw formation energy = -4.20 eV per formula unit; uncorrected energy = -4.05 eV per atom
1.0
-0.766 3.388 1.693
-3.444 0.603 1.644
2.259 -2.350 10.135
Ac Br Er
1 2 1
Cartesian
-0.976 0.820 6.736
1.266 -1.352 7.689
-3.218 2.993 5.784
0.000 0.000 0.000

***

No. 8
Nd3NpN4 (PBE, relaxed); distance to the lowest polymorph of the same formula = 0.0 meV per atom; raw formation energy = -10.58 eV per formula unit; uncorrected energy = -8.89 eV per atom
1.0
-0.772 -5.613 2.513
2.788 -0.554 -5.541
6.415 0.538 3.175
Np Nd N
2 6 8
Cartesian
5.033 -3.739 4.662
0.610 -1.336 1.025
1.824 -4.008 3.074
3.819 -1.066 2.614
4.825 -4.150 1.099
1.616 -4.419 -0.489
3.606 -1.478 -0.952
6.816 -1.209 0.636
4.040 -5.267 3.216
5.932 -2.471 2.846
2.551 -2.618 1.031
1.338 -0.082 -0.874
7.093 -5.546 1.021
5.880 -3.011 -0.885
2.499 -3.157 -2.700
4.391 -0.362 -3.069